1.
Lu4V4O13: optimized geometry, GGA+U.

Geometry as POSCAR:
```
Lu4V4O13
1.0
0.000 4.983 4.983
4.983 0.000 4.983
4.983 4.983 0.000
Lu V O
4 4 13
direct
0.123 0.630 0.123
0.630 0.123 0.123
0.123 0.123 0.123
0.123 0.123 0.630
0.624 0.624 0.128
0.624 0.624 0.624
0.624 0.128 0.624
0.128 0.624 0.624
0.288 0.712 0.712
0.288 0.712 0.288
0.712 0.712 0.288
0.288 0.288 0.712
0.712 0.288 0.712
0.712 0.288 0.288
0.532 0.968 0.968
0.532 0.968 0.532
0.968 0.968 0.532
0.532 0.532 0.968
0.968 0.532 0.968
0.968 0.532 0.532
0.000 0.000 0.000
```

Summary:
Space-group type ... No. 216


2.
Lu2V2O7: optimized geometry, GGA+U.

Geometry as POSCAR:
```
Lu2V2O7
1.0
-0.310 -6.752 2.041
4.604 -4.686 -2.588
5.042 -2.665 4.163
Lu V O
4 4 14
direct
0.625 0.625 0.625
0.125 0.625 0.625
0.625 0.625 0.125
0.625 0.125 0.625
0.125 0.125 0.125
0.625 0.125 0.125
0.125 0.125 0.625
0.125 0.625 0.125
0.750 0.750 0.750
0.500 0.500 0.500
0.790 0.210 0.210
0.040 0.460 0.460
0.210 0.210 0.790
0.790 0.210 0.790
0.210 0.790 0.210
0.790 0.790 0.210
0.210 0.790 0.790
0.040 0.040 0.460
0.460 0.460 0.040
0.040 0.460 0.040
0.460 0.040 0.460
0.460 0.040 0.040
```

Summary:
Space-group type ... No. 227


3.
LuWO5: optimized geometry, GGA+U.

Geometry as POSCAR:
```
LuWO5
1.0
12.554 0.000 0.000
0.000 5.243 0.032
0.000 3.116 6.104
Lu W O
4 4 20
direct
0.555 0.642 0.215
0.445 0.358 0.785
0.055 0.358 0.285
0.945 0.642 0.715
0.862 0.883 0.156
0.138 0.117 0.844
0.362 0.117 0.344
0.638 0.883 0.656
0.916 0.504 0.449
0.084 0.496 0.551
0.416 0.496 0.051
0.584 0.504 0.949
0.429 0.988 0.155
0.571 0.012 0.845
0.929 0.012 0.345
0.071 0.988 0.655
0.932 0.675 0.035
0.068 0.325 0.965
0.432 0.325 0.465
0.568 0.675 0.535
0.723 0.789 0.210
0.277 0.211 0.790
0.223 0.211 0.290
0.777 0.789 0.710
0.142 0.774 0.088
0.858 0.226 0.912
0.642 0.226 0.412
0.358 0.774 0.588
```

Summary:
Space-group type ... No. 14


4.
Lu2WO6: optimized geometry, GGA+U.

Geometry as POSCAR:
```
Lu2WO6
1.0
5.298 0.000 0.000
0.000 7.586 0.001
0.000 2.891 10.904
Lu W O
8 4 24
direct
0.259 0.000 0.750
0.181 0.794 0.079
0.181 0.206 0.421
0.741 0.000 0.250
0.314 0.500 0.750
0.819 0.206 0.921
0.819 0.794 0.579
0.686 0.500 0.250
0.743 0.724 0.885
0.257 0.724 0.385
0.743 0.276 0.615
0.257 0.276 0.115
0.543 0.154 0.069
0.044 0.058 0.105
0.024 0.711 0.770
0.457 0.154 0.569
0.363 0.487 0.384
0.956 0.058 0.605
0.540 0.795 0.724
0.460 0.795 0.224
0.151 0.633 0.551
0.044 0.942 0.395
0.457 0.846 0.931
0.460 0.205 0.276
0.849 0.367 0.449
0.637 0.487 0.884
0.363 0.513 0.116
0.956 0.942 0.895
0.543 0.846 0.431
0.976 0.289 0.230
0.540 0.205 0.776
0.849 0.633 0.051
0.024 0.289 0.730
0.151 0.367 0.949
0.976 0.711 0.270
0.637 0.513 0.616
```

Summary:
Space-group type ... No. 13


5.
Lu2WO6: optimized geometry, GGA+U.

Geometry as POSCAR:
```
Lu2WO6
1.0
-4.575 2.346 0.582
-0.699 -3.422 8.307
4.527 7.922 3.644
Lu W O
8 4 24
direct
0.011 0.396 0.034
0.043 0.281 0.628
0.457 0.719 0.128
0.489 0.604 0.534
0.511 0.104 0.966
0.543 0.219 0.372
0.957 0.781 0.872
0.989 0.896 0.466
0.035 0.004 0.153
0.465 0.996 0.653
0.535 0.496 0.847
0.965 0.504 0.347
0.099 0.660 0.467
0.178 0.545 0.195
0.175 0.862 0.681
0.197 0.856 0.265
0.239 0.381 0.430
0.256 0.088 0.502
0.244 0.912 0.002
0.261 0.619 0.930
0.303 0.144 0.765
0.325 0.138 0.181
0.322 0.455 0.695
0.401 0.340 0.967
0.599 0.840 0.533
0.678 0.955 0.805
0.675 0.638 0.319
0.697 0.644 0.735
0.739 0.119 0.570
0.756 0.412 0.498
0.744 0.588 0.998
0.761 0.881 0.070
0.803 0.356 0.235
0.825 0.362 0.819
0.822 0.045 0.305
0.901 0.160 0.033
```

Summary:
Space-group type ... No. 19


6.
Lu2W3O12: optimized geometry, GGA+U.

Geometry as POSCAR:
```
Lu2W3O12
1.0
-2.050 2.968 5.756
-4.719 -4.211 -2.479
0.962 -8.583 7.170
Lu W O
4 6 24
direct
0.711 0.958 0.592
0.958 0.711 0.092
0.042 0.289 0.908
0.289 0.042 0.408
0.540 0.757 0.947
0.757 0.540 0.447
0.133 0.867 0.750
0.867 0.133 0.250
0.243 0.460 0.553
0.460 0.243 0.053
0.530 0.901 0.793
0.865 0.790 0.722
0.073 0.660 0.900
0.772 0.332 0.562
0.823 0.924 0.957
0.532 0.609 0.575
0.901 0.530 0.293
0.391 0.468 0.925
0.076 0.177 0.543
0.668 0.228 0.938
0.340 0.927 0.600
0.790 0.865 0.222
0.210 0.135 0.778
0.660 0.073 0.400
0.332 0.772 0.062
0.924 0.823 0.457
0.609 0.532 0.075
0.099 0.470 0.707
0.468 0.391 0.425
0.177 0.076 0.043
0.228 0.668 0.438
0.927 0.340 0.100
0.135 0.210 0.278
0.470 0.099 0.207
```

Summary:
Space-group type ... No. 15


7.
Lu2WO6: optimized geometry, GGA+U.

Geometry as POSCAR:
```
Lu2WO6
1.0
-9.091 2.902 0.752
-5.925 -7.505 -0.451
-1.085 -0.921 5.112
Lu W O
8 4 24
direct
0.939 0.718 0.381
0.718 0.939 0.881
0.379 0.621 0.250
0.895 0.105 0.250
0.105 0.895 0.750
0.621 0.379 0.750
0.282 0.061 0.119
0.061 0.282 0.619
0.819 0.497 0.088
0.497 0.819 0.588
0.503 0.181 0.412
0.181 0.503 0.912
0.892 0.927 0.078
0.927 0.892 0.578
0.531 0.966 0.270
0.778 0.696 0.139
0.966 0.531 0.770
0.696 0.778 0.639
0.809 0.381 0.422
0.381 0.809 0.922
0.622 0.535 0.027
0.312 0.857 0.432
0.535 0.622 0.527
0.857 0.312 0.932
0.143 0.688 0.068
0.465 0.378 0.473
0.688 0.143 0.568
0.378 0.465 0.973
0.619 0.191 0.078
0.191 0.619 0.578
0.304 0.222 0.361
0.034 0.469 0.230
0.222 0.304 0.861
0.469 0.034 0.730
0.073 0.108 0.422
0.108 0.073 0.922
```

Summary:
Space-group type ... No. 15


Let's list raw total energy in order: -7.98 -8.14 -7.54 -8.14 -8.12 -7.79 -8.10 eV per atom.